Record 1
# CrPPb2

A relaxed CrPPb2 crystal (PBE, Alexandria).

Lattice parameters (Å, degrees): 4.049 4.049 7.464 75.27 75.27 54.46
Site moments in Bohr magnetons follow the coordinates.
Fractional positions:
1 Pb 0.036 0.036 0.926  -0.03
2 Pb 0.217 0.217 0.324  -0.03
3 Cr 0.464 0.464 0.627  2.02
4 P 0.783 0.783 0.624  -0.11

Computed properties:
ΔH_f (0 K) (eV per atom): 0.11
Density of states at the Fermi level (states/eV/atom): 0.63
Symmetry: Cm (8)
Total DFT energy (no corrections) (eV/atom): -5.50

Record 2
# CrPPb3

A relaxed CrPPb3 crystal (PBE, Alexandria).

Lattice parameters (Å, degrees): 5.356 5.356 5.356 90.00 90.00 90.00
Site moments in Bohr magnetons follow the coordinates.
Fractional positions:
1 Pb 0.500 0.000 0.000  0.00
2 Pb 0.000 0.000 0.500  0.02
3 Pb 0.000 0.500 0.000  0.00
4 Cr 0.500 0.500 0.500  -0.63
5 P 0.000 0.000 0.000  0.01

Computed properties:
ΔH_f (0 K) (eV per atom): 1.31
Density of states at the Fermi level (states/eV/atom): 1.80
E above lowest polymorph (eV/atom): 0.659
Symmetry: Pm-3m (221)
Total DFT energy (no corrections) (eV/atom): -3.92

Record 3
# Cr2PPb

A relaxed Cr2PPb crystal (PBE, Alexandria).

Lattice parameters (Å, degrees): 4.660 4.660 4.660 60.00 60.00 60.00
Site moments in Bohr magnetons follow the coordinates.
Fractional positions:
1 Cr 0.750 0.750 0.750  -3.04
2 Cr 0.000 0.000 0.000  3.46
3 Pb 0.250 0.250 0.250  0.06
4 P 0.500 0.500 0.500  0.11

Computed properties:
ΔH_f (0 K) (eV per atom): 0.64
Density of states at the Fermi level (states/eV/atom): 0.73
E above lowest polymorph (eV/atom): 0.545
Symmetry: F-43m (216)
Total DFT energy (no corrections) (eV/atom): -6.45

Record 4
# Cr2PPb

A relaxed Cr2PPb crystal (PBE, Alexandria).

Lattice parameters (Å, degrees): 4.432 4.432 4.432 60.00 60.00 60.00
Site moments in Bohr magnetons follow the coordinates.
Fractional positions:
1 Cr 0.750 0.750 0.750  1.52
2 Cr 0.250 0.250 0.250  1.52
3 Pb 0.500 0.500 0.500  -0.08
4 P 0.000 0.000 0.000  -0.12

Computed properties:
ΔH_f (0 K) (eV per atom): 0.65
Density of states at the Fermi level (states/eV/atom): 1.18
E above lowest polymorph (eV/atom): 0.556
Symmetry: Fm-3m (225)
Total DFT energy (no corrections) (eV/atom): -6.44

Record 5
# Cr2PPb

A relaxed Cr2PPb crystal (PBE, Alexandria).

Lattice parameters (Å, degrees): 4.310 3.220 5.284 72.30 90.00 90.00
Site moments in Bohr magnetons follow the coordinates.
Fractional positions:
1 P 0.000 0.365 0.395  -0.10
2 Cr 0.500 0.417 0.290  0.68
3 Cr 0.000 0.034 0.057  2.71
4 Pb 0.500 0.684 0.758  -0.04

Computed properties:
ΔH_f (0 K) (eV per atom): 0.36
Density of states at the Fermi level (states/eV/atom): 0.66
E above lowest polymorph (eV/atom): 0.267
Symmetry: Amm2 (38)
Total DFT energy (no corrections) (eV/atom): -6.73

Record 6
# Cr2PPb

A relaxed Cr2PPb crystal (PBE, Alexandria).

Lattice parameters (Å, degrees): 4.862 4.862 4.862 125.54 125.54 80.64
Site moments in Bohr magnetons follow the coordinates.
Fractional positions:
1 Cr 0.000 0.000 0.000  3.53
2 Cr 0.500 0.500 0.000  3.53
3 P 0.250 0.750 0.500  -0.09
4 Pb 0.750 0.250 0.500  -0.09

Computed properties:
ΔH_f (0 K) (eV per atom): 0.60
Density of states at the Fermi level (states/eV/atom): 0.98
E above lowest polymorph (eV/atom): 0.509
Symmetry: I4/mmm (139)
Total DFT energy (no corrections) (eV/atom): -6.49

Record 7
# CrPPb2

A relaxed CrPPb2 crystal (PBE, Alexandria).

Lattice parameters (Å, degrees): 3.258 3.258 8.503 90.00 90.00 89.97
Site moments in Bohr magnetons follow the coordinates.
Fractional positions:
1 P 0.500 0.500 0.664  -0.13
2 Cr 0.000 0.000 0.582  2.47
3 Pb 0.500 0.500 0.310  -0.05
4 Pb 0.000 0.000 0.945  -0.03

Computed properties:
ΔH_f (0 K) (eV per atom): 0.09
Density of states at the Fermi level (states/eV/atom): 0.83
Symmetry: P4mm (99)
Total DFT energy (no corrections) (eV/atom): -5.52

Record 8
# CrP2Pb

A relaxed CrP2Pb crystal (PBE, Alexandria).

Lattice parameters (Å, degrees): 3.013 3.013 7.535 90.00 90.00 90.00
Fractional positions:
1 Pb 0.500 0.500 0.250
2 P 0.000 0.000 0.584
3 P 0.000 0.000 0.916
4 Cr 0.500 0.500 0.750

Computed properties:
ΔH_f (0 K) (eV per atom): 0.05
Density of states at the Fermi level (states/eV/atom): 0.89
Symmetry: P4/mmm (123)
Total DFT energy (no corrections) (eV/atom): -5.99

Record 9
# CrPPb2

A relaxed CrPPb2 crystal (PBE, Alexandria).

Lattice parameters (Å, degrees): 4.824 4.824 3.983 90.01 90.01 90.63
Site moments in Bohr magnetons follow the coordinates.
Fractional positions:
1 P 0.000 0.500 0.500  -0.02
2 Pb 0.000 0.000 0.000  -0.02
3 Pb 0.500 0.500 0.000  -0.02
4 Cr 0.500 0.000 0.500  3.83

Computed properties:
ΔH_f (0 K) (eV per atom): 0.49
Density of states at the Fermi level (states/eV/atom): 0.36
Symmetry: Cmmm (65)
Total DFT energy (no corrections) (eV/atom): -5.12

Record 10
# CrPRu2Pb

A relaxed CrPRu2Pb crystal (PBE, Alexandria).

Lattice parameters (Å, degrees): 4.993 4.943 4.993 90.00 90.00 90.00
Site moments in Bohr magnetons follow the coordinates.
Fractional positions:
1 Pb 0.000 0.000 0.000  0.03
2 Cr 0.500 0.500 0.500  -0.54
3 P 0.000 0.500 0.000  -0.05
4 Ru 0.500 0.000 0.000  -1.30
5 Ru 0.000 0.000 0.500  -1.44

Computed properties:
ΔH_f (0 K) (eV per atom): 2.59
Density of states at the Fermi level (states/eV/atom): 1.88
Symmetry: P4/mmm (123)
Total DFT energy (no corrections) (eV/atom): -4.87

Record 11
# CrPPbS2

A relaxed CrPPbS2 crystal (PBE, Alexandria).

Lattice parameters (Å, degrees): 5.203 5.203 5.176 90.00 90.00 90.00
Site moments in Bohr magnetons follow the coordinates.
Fractional positions:
1 S 0.500 0.000 0.000  -0.25
2 S 0.000 0.500 0.000  -0.25
3 Pb 0.000 0.000 0.000  0.01
4 P 0.000 0.000 0.500  -0.53
5 Cr 0.500 0.500 0.500  4.16

Computed properties:
Density of states at the Fermi level (states/eV/atom): 1.02
E above lowest polymorph (eV/atom): 1.081
Symmetry: P4/mmm (123)
Total DFT energy (no corrections) (eV/atom): -4.31

Record 12
# CrPPbS2

A relaxed CrPPbS2 crystal (PBE, Alexandria).

Lattice parameters (Å, degrees): 4.753 4.753 4.548 90.00 90.00 90.00
Site moments in Bohr magnetons follow the coordinates.
Fractional positions:
1 Cr 0.000 0.000 0.000  2.23
2 P 0.000 0.000 0.500  -0.20
3 S 0.500 0.000 0.000  0.00
4 S 0.000 0.500 0.000  0.00
5 Pb 0.500 0.500 0.500  0.02

Computed properties:
Density of states at the Fermi level (states/eV/atom): 0.70
E above lowest polymorph (eV/atom): 0.000
Symmetry: P4/mmm (123)
Total DFT energy (no corrections) (eV/atom): -5.39